# 1
First-principles (PBE) data for crystalline RbCuReTe2S at its relaxed geometry, as listed in the Open Quantum Materials Database.

Magnetization   2.20 μB/f.u.
Energy   -113.04 eV for the cell shown

a = 3.9322 Å, b = 16.5532 Å, c = 9.7558 Å
α = 90.00°, β = 90.00°, γ = 90.00°
Space group Cmcm (No. 63)
Unique sites:
Rb 0.0000 0.2419 0.2500
Cu 0.0000 0.0200 0.7500
Re 0.0000 0.5000 0.0000
Te 0.0000 0.1142 0.5407
S 0.0000 0.4475 0.7500

# 2
First-principles (PBE) data for crystalline RbCuReTeS2 at its relaxed geometry, as listed in the Open Quantum Materials Database.

Magnetization   1.53 μB/f.u.
Energy   -121.14 eV for the cell shown

a = 3.6619 Å, b = 16.2034 Å, c = 9.8858 Å
α = 90.00°, β = 90.00°, γ = 90.00°
Space group Cmcm (No. 63)
Unique sites:
Rb 0.0000 0.2185 0.2500
Cu 0.0000 0.4688 0.7500
Re 0.0000 0.0000 0.0000
Te 0.0000 0.0830 0.7500
S 0.0000 0.4040 0.5507

# 3
First-principles (PBE) data for crystalline RbCu3ReTe4 at its relaxed geometry, as listed in the Open Quantum Materials Database.

Magnetization   0.02 μB/f.u.
Energy   -35.80 eV for the cell shown

a = 6.6000 Å, b = 6.6000 Å, c = 6.6000 Å
α = 90.00°, β = 90.00°, γ = 90.00°
Space group P-43m (No. 215)
Unique sites:
Rb 0.0000 0.0000 0.0000
Cu 0.0000 0.5000 0.5000
Re 0.5000 0.5000 0.5000
Te 0.2795 0.2795 0.2795